Computed, not measured: NaCrCuO4 after structural relaxation at the GGA+U level of DFT.

Summary:
Energy   -5.714 eV per atom

Cell lengths 5.427, 5.286, 6.409 Å; angles 90.00, 108.45, 90.00 degrees
Atoms (fractional coordinates):
Na1 0.125 0.250 0.127
Na2 0.875 0.750 0.873
Cr1 0.137 0.750 0.468
Cr2 0.863 0.250 0.532
Cu1 0.424 0.250 0.697
Cu2 0.576 0.750 0.303
O1 0.140 0.008 0.685
O2 0.140 0.492 0.685
O3 0.217 0.750 0.196
O4 0.491 0.750 0.574
O5 0.509 0.250 0.426
O6 0.783 0.250 0.804
O7 0.860 0.508 0.315
O8 0.860 0.992 0.315